Below is an optimized crystal structure of Ac2Zn2NiO6, with properties calculated at the PBE with a Hubbard U level.

The space group is R-3m (No. 166, hexagonal axes) and the conventional cell measures 5.9128, 5.9128 and 15.9888 Å, with angles of 90.00, 90.00 and 120.00 degrees. The distinct sites, in fractional coordinates, are Ac at (0.0000, 0.0000, 0.2103), Zn at (0.0000, 0.0000, 0.4187), Ni at (0.0000, 0.0000, 0.0000) and O at (0.0320, 0.5160, 0.7563).

The calculation puts the density of states at the Fermi level at 0.000 states/eV/f.u. The value obtained for the total energy is -5.877 eV/atom.